First-principles (PBE-GGA) data for Pr2AlCu3 after structural relaxation, as listed in Alexandria via LeMat-Bulk.

Unit cell a=8.2818 b=8.2818 c=8.2818 alpha=152.17 beta=150.79 gamma=40.79
Atoms (fractional coordinates):
1 Pr 0.0000 0.0000 0.0000
2 Pr 0.7614 0.2614 0.5000
3 Al 0.5935 0.5935 0.0000
4 Cu 0.1752 0.6752 0.5000
5 Cu 0.3364 0.8364 0.5000
6 Cu 0.4286 0.4286 0.0000

- formation energy from the elements (meV/atom) = -229
- total moment (μB per formula unit) = 0.000
- E above lowest polymorph (meV/atom) = 0